Compound: RbTlCd4
Source: Alexandria
Functional: PBE-GGA
Structure: optimized geometry

Cell and atoms, written as extended XYZ:
```
6
Lattice="0.0000 4.4525 4.4525 4.4525 0.0000 4.4525 4.4525 4.4525 0.0000" Properties=species:S:1:pos:R:3 pbc="T T T"
Rb 0.0000 0.0000 0.0000
Tl 2.2263 2.2263 2.2263
Cd 5.5632 3.3419 3.3419
Cd 3.3419 5.5632 3.3419
Cd 3.3419 3.3419 5.5632
Cd 5.5632 5.5632 5.5632
```

Properties
Calculated formation energy ... -0.06 eV per formula unit

Compound: KRbCdIn
Source: Alexandria
Functional: PBE-GGA
Structure: optimized geometry

Cell and atoms, written as extended XYZ:
```
16
Lattice="8.3533 0.0000 0.0000 0.0000 8.3533 0.0000 0.0000 0.0000 8.3533" Properties=species:S:1:pos:R:3 pbc="T T T"
K 0.0000 0.0000 0.0000
K 0.0000 4.1766 4.1766
K 4.1766 0.0000 4.1766
K 4.1766 4.1766 0.0000
Rb 2.0883 2.0883 2.0883
Rb 2.0883 6.2650 6.2650
Rb 6.2650 2.0883 6.2650
Rb 6.2650 6.2650 2.0883
Cd 0.0000 0.0000 4.1766
Cd 0.0000 4.1766 0.0000
Cd 4.1766 0.0000 0.0000
Cd 4.1766 4.1766 4.1766
In 2.0883 2.0883 6.2650
In 2.0883 6.2650 2.0883
In 6.2650 2.0883 2.0883
In 6.2650 6.2650 6.2650
```

Properties
Calculated formation energy ... 0.15 eV per formula unit

Compound: Ho5BiOs
Source: Alexandria
Functional: PBE-GGA
Structure: optimized geometry

Cell and atoms, written as extended XYZ:
```
14
Lattice="5.9424 -4.2926 0.0000 5.9424 4.2926 0.0000 -3.1693 0.0000 9.3715" Properties=species:S:1:pos:R:3 pbc="T T T"
Ho 0.5190 1.0337 6.0798
Ho 3.5654 3.3845 7.0286
Ho 4.7130 1.9327 0.2475
Ho 2.1037 -1.0337 1.3941
Ho 5.5871 1.9327 4.4383
Ho 3.1283 -1.9327 4.9332
Ho 6.6118 1.0337 7.9774
Ho 4.0025 -1.9327 9.1240
Ho 5.1500 -3.3845 2.3429
Ho 8.1964 -1.0337 3.2917
Bi 3.5654 0.3200 7.0286
Bi 5.1500 -0.3200 2.3429
Os 0.0000 0.0000 0.0000
Os -1.5846 0.0000 4.6858
```

Properties
Calculated formation energy ... -0.54 eV per formula unit

Compound: Sm3PuSe4
Source: Alexandria
Functional: PBE-GGA
Structure: optimized geometry

Cell and atoms, written as extended XYZ:
```
16
Lattice="5.8857 0.0000 0.0000 0.0000 5.8857 0.0000 0.0000 0.0000 11.7996" Properties=species:S:1:pos:R:3 pbc="T T T"
Sm 0.0000 0.0000 0.0000
Sm 0.0000 2.9428 2.9499
Sm 0.0000 2.9428 8.8497
Sm 2.9428 0.0000 2.9499
Sm 2.9428 0.0000 8.8497
Sm 2.9428 2.9428 5.8998
Pu 0.0000 0.0000 5.8998
Pu 2.9428 2.9428 0.0000
Se 0.0000 0.0000 2.9678
Se 0.0000 0.0000 8.8318
Se 0.0000 2.9428 0.0000
Se 0.0000 2.9428 5.8998
Se 2.9428 0.0000 0.0000
Se 2.9428 0.0000 5.8998
Se 2.9428 2.9428 2.9320
Se 2.9428 2.9428 8.8676
```

Properties
Raw formation energy ... -1768 meV/atom

Compound: ZnAs2Rh4
Source: Alexandria
Functional: PBE-GGA
Structure: optimized geometry

Cell and atoms, written as extended XYZ:
```
14
Lattice="4.5105 0.0000 0.0000 0.0000 4.5105 0.0000 0.0000 0.0000 12.3682" Properties=species:S:1:pos:R:3 pbc="T T T"
Zn 0.0000 0.0000 0.0000
Zn 2.2553 2.2553 6.1841
As 0.0000 0.0000 4.7710
As 0.0000 0.0000 7.5972
As 2.2553 2.2553 1.4131
As 2.2553 2.2553 10.9551
Rh 0.0000 0.0000 2.4986
Rh 0.0000 0.0000 9.8696
Rh 0.0000 2.2553 0.0000
Rh 0.0000 2.2553 6.1841
Rh 2.2553 0.0000 0.0000
Rh 2.2553 0.0000 6.1841
Rh 2.2553 2.2553 3.6855
Rh 2.2553 2.2553 8.6827
```

Properties
Calculated formation energy ... 2.91 eV per formula unit

Compound: TbDyAgAu
Source: Alexandria
Functional: PBE-GGA
Structure: optimized geometry

Cell and atoms, written as extended XYZ:
```
16
Lattice="7.2428 0.0000 0.0000 0.0000 7.2428 0.0000 0.0000 0.0000 7.2428" Properties=species:S:1:pos:R:3 pbc="T T T"
Tb 0.0000 0.0000 0.0000
Tb 0.0000 3.6214 3.6214
Tb 3.6214 0.0000 3.6214
Tb 3.6214 3.6214 0.0000
Dy 0.0000 0.0000 3.6214
Dy 0.0000 3.6214 0.0000
Dy 3.6214 0.0000 0.0000
Dy 3.6214 3.6214 3.6214
Ag 1.8107 1.8107 5.4321
Ag 1.8107 5.4321 1.8107
Ag 5.4321 1.8107 1.8107
Ag 5.4321 5.4321 5.4321
Au 1.8107 1.8107 1.8107
Au 1.8107 5.4321 5.4321
Au 5.4321 1.8107 5.4321
Au 5.4321 5.4321 1.8107
```

Properties
Calculated formation energy ... -2.35 eV per formula unit

Compound: LiTbCeZn
Source: Alexandria
Functional: PBE-GGA
Structure: optimized geometry

Cell and atoms, written as extended XYZ:
```
16
Lattice="7.2823 0.0000 0.0000 0.0000 7.2823 0.0000 0.0000 0.0000 7.2823" Properties=species:S:1:pos:R:3 pbc="T T T"
Li 0.0000 0.0000 0.0000
Li 0.0000 3.6412 3.6412
Li 3.6412 0.0000 3.6412
Li 3.6412 3.6412 0.0000
Tb 1.8206 1.8206 1.8206
Tb 1.8206 5.4617 5.4617
Tb 5.4617 1.8206 5.4617
Tb 5.4617 5.4617 1.8206
Ce 1.8206 1.8206 5.4617
Ce 1.8206 5.4617 1.8206
Ce 5.4617 1.8206 1.8206
Ce 5.4617 5.4617 5.4617
Zn 0.0000 0.0000 3.6412
Zn 0.0000 3.6412 0.0000
Zn 3.6412 0.0000 0.0000
Zn 3.6412 3.6412 3.6412
```

Properties
Calculated formation energy ... -0.09 eV per formula unit

Compound: Li5Zn6Ru
Source: Alexandria
Functional: PBE-GGA
Structure: optimized geometry

Cell and atoms, written as extended XYZ:
```
12
Lattice="2.0287 -6.0110 0.0000 2.0287 6.0110 0.0000 0.0000 0.0000 7.1069" Properties=species:S:1:pos:R:3 pbc="T T T"
Li 0.0000 0.0000 0.0000
Li 2.0287 2.0741 0.0000
Li 2.0287 1.9909 3.5534
Li 2.0287 -1.9909 3.5534
Li 2.0287 -2.0741 0.0000
Zn 2.0287 4.0531 1.8253
Zn 2.0287 4.0531 5.2816
Zn 2.0287 0.0000 1.8686
Zn 2.0287 0.0000 5.2382
Zn 2.0287 -4.0531 1.8253
Zn 2.0287 -4.0531 5.2816
Ru 0.0000 0.0000 3.5534
```

Properties
Calculated formation energy ... -1.89 eV per formula unit